Gd2MgS4 after structural relaxation, computed with PBEsol.

Output
The calculation puts the raw formation energy at -1.8767 eV/atom. For the theoretical density, the calculation gives 4.50 g cm⁻³. The calculation puts the total energy at -122.58 eV for the cell shown.

Structure (CIF):
```
data_Gd2MgS4
_chemical_formula_sum 'Gd4 Mg2 S8'
_symmetry_space_group_name_H-M 'P 1'
_symmetry_Int_Tables_number 1
_symmetry_space_group_name_Hall 'P 1'
_cell_length_a 7.873
_cell_length_b 7.873
_cell_length_c 7.873
_cell_angle_alpha 60.00
_cell_angle_beta 60.00
_cell_angle_gamma 60.00
loop_
_atom_site_label
_atom_site_fract_x
_atom_site_fract_y
_atom_site_fract_z
Gd1 0.000 0.000 0.000
Gd2 0.000 0.000 0.500
Gd3 0.000 0.500 0.000
Gd4 0.500 0.000 0.000
Mg1 0.375 0.375 0.375
Mg2 0.625 0.625 0.625
S1 0.237 0.754 0.754
S2 0.246 0.246 0.246
S3 0.246 0.246 0.763
S4 0.246 0.763 0.246
S5 0.754 0.237 0.754
S6 0.754 0.754 0.237
S7 0.754 0.754 0.754
S8 0.763 0.246 0.246
```